1 | A plane-wave DFT calculation with GGA-PBEsol was carried out for an optimized crystal structure of LaBe3Ga.

```
LaBe3Ga
1.0
4.333 0.000 0.000
0.000 4.333 0.000
0.000 0.000 4.333
La Be Ga
1 3 1
Direct
0.000 0.000 0.000
0.000 0.500 0.500
0.500 0.000 0.500
0.500 0.500 0.000
0.500 0.500 0.500
```

Space group: No. 221
Density of states at the Fermi level in states/eV per atom: 0.42
Spin magnetization in μB per cell: 0.0



2 | A plane-wave DFT calculation with GGA-PBEsol was carried out for an optimized crystal structure of LaBe3Ga.

```
LaBe3Ga
1.0
5.009 0.000 0.000
0.000 5.009 0.000
0.000 0.000 5.009
La Be Ga
1 3 1
Direct
0.000 0.000 0.000
0.000 0.000 0.500
0.000 0.500 0.000
0.500 0.000 0.000
0.500 0.500 0.500
```

Space group: No. 221
Density of states at the Fermi level in states/eV per atom: 1.21
Spin magnetization in μB per cell: 0.0



How do the energies compare? Relative to the most stable structure, in kJ/mol of atoms: 1 0.0; 2 161.2.